## NaPaSb2 (PBE-GGA)

Data for NaPaSb2 after structural relaxation.

Computed properties:
- Energy relative to the elements, uncorrected: -0.36 eV/atom
- E_tot: -5.126 eV/atom
- M_tot: 0.72 Bohr magnetons per cell

Lattice parameters (Å, degrees): 3.2667 5.6497 5.6497 90.00 90.00 90.00
Site moments in Bohr magnetons follow the coordinates.
Element x y z (fractional)
Sb  0.0000  0.0000  0.5000  -0.02
Sb  0.0000  0.5000  0.0000  -0.02
Pa  0.5000  0.5000  0.5000  0.69
Na  0.5000  0.0000  0.0000  0.00



## NaPaSb2 (PBE-GGA)

Data for NaPaSb2 after structural relaxation.

Computed properties:
- Energy relative to the elements, uncorrected: -0.36 eV/atom
- E_tot: -5.122 eV/atom
- M_tot: 0.00 Bohr magnetons per cell

Lattice parameters (Å, degrees): 3.9172 3.9172 7.2911 90.00 90.00 90.00
Element x y z (fractional)
Sb  0.0000  0.0000  0.7789
Sb  0.0000  0.0000  0.2211
Pa  0.5000  0.5000  0.0000
Na  0.5000  0.5000  0.5000



## Na4PaSb3Se8 (PBE-GGA)

Data for Na4PaSb3Se8 after structural relaxation.

Computed properties:
- Energy relative to the elements, uncorrected: -0.79 eV/atom
- E_tot: -4.230 eV/atom
- M_tot: 1.36 Bohr magnetons per cell

Lattice parameters (Å, degrees): 8.4951 8.4833 8.4956 120.07 120.00 90.00
Site moments in Bohr magnetons follow the coordinates.
Element x y z (fractional)
Na  0.5000  0.0000  0.0000  0.00
Na  0.5000  0.0000  0.5000  0.00
Na  0.0000  0.0000  0.0000  0.00
Na  0.0000  0.0000  0.5000  0.00
Pa  0.0000  0.5000  0.0000  1.04
Sb  0.5000  0.5000  0.0000  0.04
Sb  0.5000  0.5000  0.5000  0.04
Sb  0.0000  0.5000  0.5000  0.04
Se  0.2405  0.7297  0.9894  -0.01
Se  0.2405  0.7297  0.4811  -0.01
Se  0.2572  0.2718  0.5144  0.00
Se  0.7488  0.7297  0.9894  -0.01
Se  0.2512  0.2703  0.0106  -0.01
Se  0.7428  0.7282  0.4856  0.00
Se  0.7595  0.2703  0.5189  -0.01
Se  0.7595  0.2703  0.0106  -0.01



Question: Which value of energy relative to the elements, uncorrected does entry 3 give?
Answer: -0.79 eV/atom